Entry from Alexandria: a geometry-optimized CaTl2As structure (PBE).

Properties
Crystal system: orthorhombic
Density of states at the Fermi level: 2.156 states/eV/f.u.
E_form: -0.32 eV/atom
ΔE to the lowest computed polymorph: 98 meV/atom
Total moment: 0.0 μB per formula unit

Cell: 3.800 4.156 7.294 Å, 90.00 90.00 90.00°
Element x y z (fractional)
Tl 0.500 0.500 0.260
As 0.000 0.000 0.561
Tl 0.000 0.000 0.983
Ca 0.500 0.500 0.696

Entry from Alexandria: a geometry-optimized Ca2Tl2As structure (PBE).

Properties
Crystal system: tetragonal
Density of states at the Fermi level: 3.499 states/eV/f.u.
E_form: -0.34 eV/atom
ΔE to the lowest computed polymorph: 34 meV/atom
Total moment: 0.0 μB per formula unit

Cell: 7.794 7.794 4.737 Å, 90.00 90.00 90.00°
Element x y z (fractional)
Ca 0.170 0.670 0.500
Ca 0.830 0.330 0.500
Ca 0.330 0.170 0.500
Tl 0.862 0.638 0.000
Tl 0.138 0.362 0.000
Tl 0.362 0.862 0.000
Ca 0.670 0.830 0.500
As 0.000 0.000 0.000
As 0.500 0.500 0.000
Tl 0.638 0.138 0.000

Entry from Alexandria: a geometry-optimized CaTmAs2 structure (PBE).

Properties
Crystal system: trigonal
Density of states at the Fermi level: 2.833 states/eV/f.u.
E_form: -1.18 eV/atom
ΔE to the lowest computed polymorph: 0 meV/atom
Total moment: 0.0 μB per formula unit

Cell: 4.094 4.094 7.377 Å, 73.89 73.89 60.00°
Element x y z (fractional)
Tm 0.000 0.000 0.000
Ca 0.500 0.500 0.500
As 0.255 0.255 0.234
As 0.745 0.745 0.766

Entry from Alexandria: a geometry-optimized CaTmAs2 structure (PBE).

Properties
Crystal system: trigonal
Density of states at the Fermi level: 3.546 states/eV/f.u.
E_form: -1.07 eV/atom
ΔE to the lowest computed polymorph: 108 meV/atom
Total moment: 0.0 μB per formula unit

Cell: 4.254 4.254 7.108 Å, 72.59 72.59 60.00°
Element x y z (fractional)
Tm 0.497 0.497 0.510
As 0.243 0.243 0.270
Ca 0.670 0.670 0.990
As 0.090 0.090 0.731

Entry from Alexandria: a geometry-optimized Ca5TmAs4 structure (PBE).

Properties
Crystal system: orthorhombic
Density of states at the Fermi level: 4.161 states/eV/f.u.
E_form: -1.08 eV/atom
Total moment: 1.0 μB per formula unit

Cell: 4.354 7.909 9.660 Å, 114.12 103.02 90.00°
Site moments in Bohr magnetons follow the coordinates.
Element x y z (fractional)
As 0.000 0.246 0.000  0.00
Ca 0.833 0.593 0.667  0.03
As 0.695 0.196 0.391  0.00
Ca 0.500 0.500 0.000  0.04
Ca 0.833 0.072 0.666  0.03
As 0.305 0.804 0.609  0.00
Ca 0.167 0.407 0.333  0.03
As 0.000 0.754 0.000  0.00
Ca 0.167 0.928 0.334  0.03
Tm 0.500 0.000 0.000  0.06

Entry from Alexandria: a geometry-optimized CaTm3As4 structure (PBE).

Properties
Crystal system: monoclinic
Density of states at the Fermi level: 3.135 states/eV/f.u.
E_form: -1.35 eV/atom
Total moment: 0.0 μB per formula unit

Cell: 7.094 7.122 8.228 Å, 90.00 90.00 109.55°
Element x y z (fractional)
As 0.995 0.747 0.380
As 0.495 0.747 0.620
Tm 0.750 0.500 0.124
Ca 0.750 0.000 0.876
Tm 0.250 0.000 0.626
Tm 0.250 0.500 0.876
Tm 0.750 0.500 0.626
Tm 0.250 0.500 0.374
As 0.499 0.260 0.869
As 0.005 0.253 0.620
As 0.001 0.740 0.869
As 0.501 0.740 0.131
Tm 0.750 0.000 0.374
Ca 0.250 0.000 0.124
As 0.505 0.253 0.380
As 0.999 0.260 0.131

Entry from Alexandria: a geometry-optimized Ca3Tm2UAs6 structure (PBE).

Properties
Crystal system: monoclinic
E_form: -1.21 eV/atom
Total moment: 0.0 μB per formula unit

Cell: 7.144 7.144 7.249 Å, 99.45 99.45 119.99°
Element x y z (fractional)
Ca 0.170 0.830 0.500
U 0.000 0.000 0.000
Tm 0.666 0.334 0.000
As 0.755 0.755 0.229
As 0.924 0.601 0.770
As 0.601 0.924 0.770
Ca 0.830 0.170 0.500
Ca 0.500 0.500 0.500
As 0.399 0.076 0.230
As 0.076 0.399 0.230
As 0.245 0.245 0.771
Tm 0.334 0.666 0.000

Entry from Alexandria: a geometry-optimized CaTm2UAs4 structure (PBE).

Properties
Crystal system: monoclinic
Density of states at the Fermi level: 6.664 states/eV/f.u.
E_form: -1.22 eV/atom
Total moment: 1.9 μB per formula unit

Cell: 4.099 7.106 7.101 Å, 108.95 90.00 90.00°
Site moments in Bohr magnetons follow the coordinates.
Element x y z (fractional)
Ca 0.500 0.500 0.000  0.00
Tm 0.500 0.000 0.500  -0.01
As 0.000 0.238 0.746  -0.04
As 0.500 0.246 0.252  -0.05
U 0.000 0.000 0.000  1.94
Tm 0.000 0.500 0.500  -0.01
As 0.000 0.762 0.254  -0.04
As 0.500 0.754 0.748  -0.05

Entry from Alexandria: a geometry-optimized Ca2TmUAs4 structure (PBE).

Properties
Crystal system: monoclinic
Density of states at the Fermi level: 5.157 states/eV/f.u.
E_form: -1.15 eV/atom
Total moment: 1.0 μB per formula unit

Cell: 4.171 7.143 7.235 Å, 109.13 90.00 90.00°
Site moments in Bohr magnetons follow the coordinates.
Element x y z (fractional)
As 0.500 0.762 0.771  -0.04
Ca 0.500 0.000 0.500  -0.01
As 0.500 0.238 0.229  -0.04
Ca 0.000 0.500 0.500  -0.02
As 0.000 0.751 0.230  -0.04
As 0.000 0.249 0.770  -0.04
Tm 0.500 0.500 0.000  -0.03
U 0.000 0.000 0.000  1.33

Entry from Alexandria: a geometry-optimized CaY2TmAs4 structure (PBE).

Properties
Crystal system: monoclinic
Density of states at the Fermi level: 3.564 states/eV/f.u.
E_form: -1.37 eV/atom
Total moment: 0.0 μB per formula unit

Cell: 4.122 7.165 7.182 Å, 70.71 90.00 90.00°
Element x y z (fractional)
As 0.500 0.251 0.745
As 0.000 0.755 0.742
Y 0.500 0.000 0.500
Ca 0.500 0.500 0.000
Y 0.000 0.000 0.000
As 0.500 0.749 0.255
Tm 0.000 0.500 0.500
As 0.000 0.245 0.258

Entry from Alexandria: a geometry-optimized CaTm2ZrAs4 structure (PBE).

Properties
Crystal system: monoclinic
Density of states at the Fermi level: 1.255 states/eV/f.u.
E_form: -1.30 eV/atom
Total moment: 0.0 μB per formula unit

Cell: 4.033 7.038 6.959 Å, 109.03 90.00 90.00°
Element x y z (fractional)
Ca 0.500 0.500 0.000
As 0.500 0.761 0.756
As 0.500 0.239 0.244
As 0.000 0.762 0.251
Tm 0.500 0.000 0.500
Zr 0.000 0.000 0.000
As 0.000 0.238 0.749
Tm 0.000 0.500 0.500

Entry from Alexandria: a geometry-optimized Ca2TmZrAs4 structure (PBE).

Properties
Crystal system: monoclinic
Density of states at the Fermi level: 3.334 states/eV/f.u.
E_form: -1.19 eV/atom
Total moment: 0.0 μB per formula unit

Cell: 4.032 7.023 7.249 Å, 108.62 90.00 90.00°
Element x y z (fractional)
Zr 0.000 0.000 0.000
Ca 0.500 0.000 0.500
As 0.000 0.247 0.769
Tm 0.500 0.500 0.000
As 0.000 0.753 0.231
As 0.500 0.234 0.227
Ca 0.000 0.500 0.500
As 0.500 0.766 0.773

Entry from Alexandria: a geometry-optimized Ca5UAs5 structure (PBE).

Properties
Crystal system: monoclinic
Density of states at the Fermi level: 2.723 states/eV/f.u.
E_form: -1.05 eV/atom
Total moment: 1.0 μB per formula unit

Cell: 5.847 7.429 8.392 Å, 106.89 90.00 113.18°
Site moments in Bohr magnetons follow the coordinates.
Element x y z (fractional)
As 0.500 0.000 0.000  -0.05
Ca 0.320 0.641 0.142  0.00
As 0.148 0.295 0.829  -0.03
Ca 0.312 0.623 0.675  -0.01
Ca 0.680 0.359 0.858  0.00
As 0.842 0.685 0.678  -0.04
As 0.158 0.315 0.322  -0.04
Ca 0.000 0.000 0.500  0.00
Ca 0.688 0.377 0.325  -0.01
As 0.852 0.705 0.171  -0.03
U 0.000 0.000 0.000  1.34

Entry from Alexandria: a geometry-optimized CaU4As5 structure (PBE).

Properties
Crystal system: orthorhombic
Density of states at the Fermi level: 27.448 states/eV/f.u.
E_form: -0.81 eV/atom
Total moment: 9.8 μB per formula unit

Cell: 4.071 5.796 11.004 Å, 105.27 100.66 90.00°
Site moments in Bohr magnetons follow the coordinates.
Element x y z (fractional)
As 0.396 0.896 0.792  -0.07
U 0.600 0.600 0.199  2.24
U 0.202 0.202 0.404  2.25
Ca 0.000 0.000 0.000  0.00
U 0.798 0.798 0.596  2.25
As 0.604 0.104 0.208  -0.07
As 0.199 0.699 0.397  -0.08
As 0.000 0.500 0.000  -0.08
U 0.400 0.400 0.801  2.24
As 0.801 0.301 0.603  -0.08

Entry from Alexandria: a geometry-optimized CaU2As3 structure (PBE).

Properties
Crystal system: orthorhombic
Density of states at the Fermi level: 12.999 states/eV/f.u.
E_form: -0.62 eV/atom
Total moment: 4.8 μB per formula unit

Cell: 7.215 7.264 7.392 Å, 90.00 90.00 119.77°
Site moments in Bohr magnetons follow the coordinates.
Element x y z (fractional)
Ca 0.493 0.000 0.750  0.02
Ca 0.507 0.000 0.250  0.02
As 0.501 0.406 0.750  -0.08
U 0.166 0.332 0.500  2.23
As 0.095 0.594 0.750  -0.08
U 0.166 0.332 0.000  2.23
As 0.099 0.000 0.250  -0.08
As 0.905 0.406 0.250  -0.08
As 0.901 0.000 0.750  -0.08
As 0.499 0.594 0.250  -0.08
U 0.834 0.668 0.000  2.23
U 0.834 0.668 0.500  2.23

Entry from Alexandria: a geometry-optimized CaUAs structure (PBE).

Properties
Crystal system: tetragonal
Density of states at the Fermi level: 3.313 states/eV/f.u.
E_form: -0.66 eV/atom
Total moment: 1.5 μB per formula unit

Cell: 4.013 4.013 8.683 Å, 90.00 90.00 90.00°
Site moments in Bohr magnetons follow the coordinates.
Element x y z (fractional)
U 0.500 0.500 0.500  1.44
As 0.000 0.500 0.233  -0.03
Ca 0.000 0.500 0.859  0.00
Ca 0.500 0.000 0.141  0.00
U 0.000 0.000 0.500  1.44
As 0.500 0.000 0.767  -0.03

Entry from Alexandria: a geometry-optimized Ca2UAs3 structure (PBE).

Properties
Crystal system: orthorhombic
Density of states at the Fermi level: 3.790 states/eV/f.u.
E_form: -1.02 eV/atom
ΔE to the lowest computed polymorph: 17 meV/atom
Total moment: 1.0 μB per formula unit

Cell: 4.218 5.838 7.250 Å, 113.74 106.91 90.00°
Site moments in Bohr magnetons follow the coordinates.
Element x y z (fractional)
As 0.000 0.000 0.000  -0.06
As 0.650 0.650 0.299  -0.05
Ca 0.330 0.830 0.660  -0.01
Ca 0.670 0.170 0.340  -0.01
As 0.350 0.350 0.701  -0.05
U 0.000 0.500 0.000  1.30

Entry from Alexandria: a geometry-optimized Ca2UAs3 structure (PBE).

Properties
Crystal system: orthorhombic
Density of states at the Fermi level: 3.903 states/eV/f.u.
E_form: -1.04 eV/atom
ΔE to the lowest computed polymorph: 0 meV/atom
Total moment: 1.0 μB per formula unit

Cell: 7.254 7.254 13.268 Å, 100.46 100.46 109.62°
Site moments in Bohr magnetons follow the coordinates.
Element x y z (fractional)
As 0.391 0.414 0.325  -0.05
As 0.934 0.911 0.325  -0.05
Ca 0.998 0.498 0.996  -0.01
As 0.229 0.229 0.000  -0.05
As 0.021 0.521 0.500  -0.05
U 0.916 0.916 0.833  1.29
Ca 0.748 0.748 0.496  -0.01
U 0.166 0.666 0.333  1.29
Ca 0.581 0.581 0.162  -0.01
As 0.161 0.684 0.825  -0.05
Ca 0.252 0.252 0.504  -0.01
As 0.771 0.771 0.000  -0.05
As 0.316 0.839 0.175  -0.05
As 0.089 0.066 0.675  -0.05
As 0.859 0.336 0.175  -0.05
Ca 0.831 0.331 0.662  -0.01
As 0.586 0.609 0.675  -0.05
As 0.664 0.141 0.825  -0.05
Ca 0.669 0.169 0.338  -0.01
U 0.084 0.084 0.167  1.29
U 0.334 0.834 0.667  1.29
Ca 0.502 0.002 0.004  -0.01
As 0.479 0.979 0.500  -0.05
Ca 0.419 0.419 0.838  -0.01

Entry from Alexandria: a geometry-optimized CaYU2As4 structure (PBE).

Properties
Crystal system: monoclinic
Density of states at the Fermi level: 10.021 states/eV/f.u.
E_form: -1.06 eV/atom
Total moment: 4.7 μB per formula unit

Cell: 4.100 7.116 7.235 Å, 109.08 90.00 90.00°
Site moments in Bohr magnetons follow the coordinates.
Element x y z (fractional)
Y 0.000 0.000 0.000  0.03
As 0.000 0.757 0.261  -0.06
As 0.500 0.249 0.256  -0.06
U 0.500 0.000 0.500  2.12
As 0.000 0.243 0.739  -0.06
Ca 0.500 0.500 0.000  0.00
As 0.500 0.751 0.744  -0.06
U 0.000 0.500 0.500  2.27

Entry from Alexandria: a geometry-optimized Ca3YU3As8 structure (PBE).

Properties
Crystal system: trigonal
Density of states at the Fermi level: 17.458 states/eV/f.u.
E_form: -0.88 eV/atom
Total moment: 3.0 μB per formula unit

Cell: 8.257 8.256 8.320 Å, 119.75 90.00 120.00°
Site moments in Bohr magnetons follow the coordinates.
Element x y z (fractional)
As 0.728 0.978 0.727  -0.07
As 0.744 0.488 0.732  -0.05
Ca 0.000 0.500 0.000  -0.01
Ca 0.000 0.000 0.000  -0.01
U 0.500 0.000 0.500  1.27
As 0.250 0.499 0.727  -0.07
U 0.500 0.500 0.500  1.27
Ca 0.500 0.500 0.000  -0.01
As 0.272 0.022 0.273  -0.07
As 0.256 0.512 0.268  -0.05
As 0.250 0.978 0.727  -0.07
U 0.000 0.500 0.500  1.27
As 0.750 0.501 0.273  -0.07
Y 0.000 0.000 0.500  -0.04
As 0.750 0.022 0.273  -0.07

Entry from Alexandria: a geometry-optimized Ca4U3ZnAs8 structure (PBE).

Properties
Crystal system: trigonal
Density of states at the Fermi level: 19.686 states/eV/f.u.
E_form: -0.82 eV/atom
Total moment: 4.0 μB per formula unit

Cell: 8.235 8.342 8.236 Å, 119.59 119.99 90.00°
Site moments in Bohr magnetons follow the coordinates.
Element x y z (fractional)
Ca 0.000 0.000 0.000  -0.01
As 0.256 0.268 0.512  -0.06
As 0.757 0.274 0.017  -0.07
Ca 0.500 0.000 0.500  -0.01
U 0.000 0.500 0.500  1.57
As 0.243 0.726 0.486  -0.07
U 0.500 0.500 0.500  1.57
As 0.741 0.726 0.983  -0.07
As 0.744 0.732 0.488  -0.06
Ca 0.000 0.000 0.500  -0.01
As 0.259 0.274 0.017  -0.07
Zn 0.000 0.500 0.000  -0.01
U 0.500 0.500 0.000  1.57
As 0.757 0.274 0.514  -0.07
Ca 0.500 0.000 0.000  -0.01
As 0.243 0.726 0.983  -0.07

Entry from Alexandria: a geometry-optimized Ca3ZrU2As6 structure (PBE).

Properties
Crystal system: monoclinic
Density of states at the Fermi level: 15.329 states/eV/f.u.
E_form: -1.04 eV/atom
Total moment: 3.9 μB per formula unit

Cell: 7.082 7.082 7.244 Å, 99.38 99.38 120.00°
Site moments in Bohr magnetons follow the coordinates.
Element x y z (fractional)
Ca 0.167 0.833 0.500  0.00
Ca 0.500 0.500 0.500  0.00
U 0.333 0.667 0.000  1.90
As 0.405 0.076 0.229  -0.05
As 0.749 0.749 0.230  -0.05
As 0.251 0.251 0.770  -0.05
U 0.667 0.333 0.000  1.90
As 0.076 0.405 0.229  -0.05
Zr 0.000 0.000 0.000  0.11
As 0.595 0.924 0.771  -0.05
As 0.924 0.595 0.771  -0.05
Ca 0.833 0.167 0.500  0.00